Pr8GaAs3I4: relaxed, GGA-PBE.

Values from the calculation:
energy: -5.03 eV per atom
energy relative to the elements, uncorrected: -1.187 eV per atom

Cell: 8.7366 8.7366 23.2446 Å, 90.00 90.00 120.00°
With the nearest neighbours (Å) after each atom.
Space group R-3m (No. 166, hexagonal axes)
Symmetry-distinct sites (fractional):
1 Pr 0.0000 0.0000 0.2318 (multiplicity 6)  3 As 2.94
2 Pr 0.0017 0.5009 0.2329 (multiplicity 18)  1 Ga 2.94, 2 As 2.96
3 Ga 0.0000 0.0000 0.5000 (multiplicity 3)  6 Pr 2.94
4 As 0.0000 0.5000 0.5000 (multiplicity 9)  6 Pr 2.94-2.96
5 I 0.0000 0.0000 0.0000 (multiplicity 3)  6 Pr 3.45
6 I 0.0000 0.5000 0.0000 (multiplicity 9)  6 Pr 3.43-3.45



Pr6Ga2AsI3: relaxed, GGA-PBE.

Values from the calculation:
energy: -4.64 eV per atom
energy relative to the elements, uncorrected: -0.969 eV per atom

Cell: 7.6197 13.2111 8.0976 Å, 90.00 108.27 90.00°
With the nearest neighbours (Å) after each atom.
Space group C2/m (No. 12)
Symmetry-distinct sites (fractional):
1 Pr 0.2343 0.0000 0.2042 (multiplicity 4)  1 As 2.99, 2 Ga 2.99
2 Pr 0.2351 0.3333 0.2051 (multiplicity 8)  2 Ga 2.99, 1 As 2.99
3 Ga 0.0000 0.1670 0.0000 (multiplicity 4)  6 Pr 2.99
4 As 0.0000 0.5000 0.0000 (multiplicity 2)  6 Pr 2.99
5 I 0.0000 0.0000 0.5000 (multiplicity 2)  6 Pr 3.41
6 I 0.0000 0.3334 0.5000 (multiplicity 4)  6 Pr 3.40-3.41



Rb2GaAsI6: relaxed, GGA-PBE.

Values from the calculation:
energy: -2.63 eV per atom
energy relative to the elements, uncorrected: -0.742 eV per atom

Cell: 8.4432 8.4432 11.9190 Å, 90.00 90.00 90.00°
With the nearest neighbours (Å) after each atom.
Space group I4/mmm (No. 139)
Symmetry-distinct sites (fractional):
1 Rb 0.0000 0.5000 0.2500 (multiplicity 4)  12 I 4.22
2 Ga 0.0000 0.0000 0.0000 (multiplicity 2)  6 I 3.06-3.07
3 As 0.0000 0.0000 0.5000 (multiplicity 2)  6 I 2.90
4 I 0.0000 0.0000 0.2568 (multiplicity 4)  1 As 2.90, 1 Ga 3.06
5 I 0.2425 0.2425 0.5000 (multiplicity 8)  1 As 2.90, 1 Ga 3.07



GaAsRu2I: relaxed, GGA-PBE.

Values from the calculation:
energy: -3.86 eV per atom
energy relative to the elements, uncorrected: 1.693 eV per atom

Cell: 4.9035 4.9035 5.3280 Å, 90.00 90.00 90.00°
With the nearest neighbours (Å) after each atom.
Space group P4/mmm (No. 123)
Symmetry-distinct sites (fractional):
1 Ga 0.0000 0.0000 0.0000 (multiplicity 1)  2 I 2.66
2 As 0.5000 0.5000 0.0000 (multiplicity 1)  4 Ga 3.47, 8 Ru 3.62
3 Ru 0.0000 0.5000 0.5000 (multiplicity 2)  2 I 2.45
4 I 0.0000 0.0000 0.5000 (multiplicity 1)  4 Ru 2.45, 2 Ga 2.66



GaSb2AsI: relaxed, GGA-PBE.

Values from the calculation:
ΔE to the lowest computed polymorph: 0.2039 eV per atom
energy: -2.76 eV per atom
energy relative to the elements, uncorrected: 0.737 eV per atom

Cell: 5.3982 5.3982 5.2887 Å, 90.00 90.00 90.00°
With the nearest neighbours (Å) after each atom.
Space group P4/mmm (No. 123)
Symmetry-distinct sites (fractional):
1 Ga 0.0000 0.0000 0.0000 (multiplicity 1)  2 I 2.64, 4 Sb 2.70
2 Sb 0.0000 0.5000 0.0000 (multiplicity 2)  2 Ga 2.70
3 As 0.5000 0.5000 0.5000 (multiplicity 1)  8 Sb 3.78, 4 I 3.82
4 I 0.0000 0.0000 0.5000 (multiplicity 1)  2 Ga 2.64



GaSb2AsI: relaxed, GGA-PBE.

Values from the calculation:
ΔE to the lowest computed polymorph: 0.0134 eV per atom
energy: -2.95 eV per atom
energy relative to the elements, uncorrected: 0.547 eV per atom

Cell: 5.5541 5.5541 4.8064 Å, 90.00 90.00 90.00°
With the nearest neighbours (Å) after each atom.
Space group P4/mmm (No. 123)
Symmetry-distinct sites (fractional):
1 Ga 0.0000 0.0000 0.0000 (multiplicity 1)  2 As 2.40
2 Sb 0.0000 0.5000 0.0000 (multiplicity 2)  2 Ga 2.78
3 As 0.0000 0.0000 0.5000 (multiplicity 1)  2 Ga 2.40
4 I 0.5000 0.5000 0.5000 (multiplicity 1)  8 Sb 3.67, 4 As 3.93



GaSb2AsI: relaxed, GGA-PBE.

Values from the calculation:
ΔE to the lowest computed polymorph: 0.0000 eV per atom
energy: -2.96 eV per atom
energy relative to the elements, uncorrected: 0.533 eV per atom

Cell: 5.3819 5.3819 5.9477 Å, 90.00 90.00 90.00°
With the nearest neighbours (Å) after each atom.
Space group P4/mmm (No. 123)
Symmetry-distinct sites (fractional):
1 Ga 0.0000 0.0000 0.0000 (multiplicity 1)  4 I 3.81, 8 Sb 4.01
2 Sb 0.0000 0.5000 0.5000 (multiplicity 2)  2 As 2.69
3 As 0.5000 0.5000 0.5000 (multiplicity 1)  4 Sb 2.69, 2 I 2.97
4 I 0.5000 0.5000 0.0000 (multiplicity 1)  2 As 2.97



GaAsSe2I: relaxed, GGA-PBE.

Values from the calculation:
ΔE to the lowest computed polymorph: 0.3554 eV per atom
energy: -2.42 eV per atom
energy relative to the elements, uncorrected: 0.819 eV per atom

Cell: 5.4626 5.4626 5.4933 Å, 90.00 90.00 90.00°
With the nearest neighbours (Å) after each atom.
Space group P4/mmm (No. 123)
Symmetry-distinct sites (fractional):
1 Ga 0.0000 0.0000 0.0000 (multiplicity 1)  4 As 3.86, 8 Se 3.87
2 As 0.5000 0.5000 0.0000 (multiplicity 1)  2 I 2.75
3 Se 0.0000 0.5000 0.5000 (multiplicity 2)  2 I 2.73
4 I 0.5000 0.5000 0.5000 (multiplicity 1)  4 Se 2.73, 2 As 2.75



GaAs2SeI: relaxed, GGA-PBE.

Values from the calculation:
ΔE to the lowest computed polymorph: 0.0000 eV per atom
energy: -2.90 eV per atom
energy relative to the elements, uncorrected: 0.572 eV per atom

Cell: 5.1357 5.1357 4.8660 Å, 90.00 90.00 90.00°
With the nearest neighbours (Å) after each atom.
Space group P4/mmm (No. 123)
Symmetry-distinct sites (fractional):
1 Ga 0.0000 0.0000 0.0000 (multiplicity 1)  2 Se 2.43, 4 As 2.57
2 As 0.0000 0.5000 0.0000 (multiplicity 2)  2 Ga 2.57
3 Se 0.0000 0.0000 0.5000 (multiplicity 1)  2 Ga 2.43
4 I 0.5000 0.5000 0.5000 (multiplicity 1)  8 As 3.54, 4 Se 3.63



GaAs2SeI: relaxed, GGA-PBE.

Values from the calculation:
ΔE to the lowest computed polymorph: 0.4394 eV per atom
energy: -2.46 eV per atom
energy relative to the elements, uncorrected: 1.011 eV per atom

Cell: 5.4471 5.4471 5.4996 Å, 90.00 90.00 90.00°
With the nearest neighbours (Å) after each atom.
Space group P4/mmm (No. 123)
Symmetry-distinct sites (fractional):
1 Ga 0.0000 0.0000 0.0000 (multiplicity 1)  4 Se 3.85, 8 As 3.87
2 As 0.0000 0.5000 0.5000 (multiplicity 2)  2 I 2.72
3 Se 0.5000 0.5000 0.0000 (multiplicity 1)  2 I 2.75
4 I 0.5000 0.5000 0.5000 (multiplicity 1)  4 As 2.72, 2 Se 2.75



GaAsSe2I: relaxed, GGA-PBE.

Values from the calculation:
ΔE to the lowest computed polymorph: 0.0000 eV per atom
energy: -2.78 eV per atom
energy relative to the elements, uncorrected: 0.464 eV per atom

Cell: 4.9457 4.9457 5.2889 Å, 90.00 90.00 90.00°
With the nearest neighbours (Å) after each atom.
Space group P4/mmm (No. 123)
Symmetry-distinct sites (fractional):
1 Ga 0.0000 0.0000 0.0000 (multiplicity 1)  4 Se 2.47, 2 As 2.64
2 As 0.0000 0.0000 0.5000 (multiplicity 1)  2 Ga 2.64
3 Se 0.0000 0.5000 0.0000 (multiplicity 2)  2 Ga 2.47
4 I 0.5000 0.5000 0.5000 (multiplicity 1)  4 As 3.50, 8 Se 3.62



GaTe2AsI: relaxed, GGA-PBE.

Values from the calculation:
ΔE to the lowest computed polymorph: 0.0000 eV per atom
energy: -2.82 eV per atom
energy relative to the elements, uncorrected: 0.282 eV per atom

Cell: 5.5301 5.5301 5.7444 Å, 90.00 90.00 90.00°
With the nearest neighbours (Å) after each atom.
Space group P4/mmm (No. 123)
Symmetry-distinct sites (fractional):
1 Ga 0.0000 0.0000 0.0000 (multiplicity 1)  4 I 3.91, 8 Te 3.99
2 Te 0.0000 0.5000 0.5000 (multiplicity 2)  2 As 2.77
3 As 0.5000 0.5000 0.5000 (multiplicity 1)  4 Te 2.77, 2 I 2.87
4 I 0.5000 0.5000 0.0000 (multiplicity 1)  2 As 2.87



Q: The lowest energy relative to the elements, uncorrected belongs to which entry?
A: Pr8GaAs3I4